ZnAg2Se | PBEsol | optimized geometry

Computed properties:
Theoretical density = 8.8 Mg/m³
E_form (uncorrected) = 0.160 eV/f.u.
DOS at the Fermi energy = 0.23 states/eV/atom
Volume = 136.2 Å³/cell

abc: 3.9672 4.0346 8.5074
angles: 90.00 90.00 90.00
Atoms (fractional coordinates):
1 Zn 0.0000 0.0000 0.0000
2 Zn 0.5000 0.5000 0.5000
3 Ag 0.0000 0.0000 0.5000
4 Ag 0.0000 0.5000 0.7471
5 Ag 0.5000 0.0000 0.2471
6 Ag 0.5000 0.5000 0.0000
7 Se 0.0000 0.5000 0.2543
8 Se 0.5000 0.0000 0.7543